Record 1
VASP calculation (PBE) on K2GaF4 after structural relaxation.

**Magnetic moment**: 0.00 μB/f.u.
**E above lowest polymorph**: 0 kJ/mol of formula units
**Formation energy (no corrections)**: -2.49 eV/atom

Cell: 4.2690 4.2690 7.4018 Å, 73.24 73.24 90.00°
With the nearest neighbours (Å) after each atom.
Element x y z (fractional)
F (0.8408, 0.8408, 0.3184)  1 Ga 2.15
K (0.6466, 0.6466, 0.7069)  5 F 2.63-2.91
K (0.3534, 0.3534, 0.2931)  5 F 2.63-2.91
Ga (0.0000, 0.0000, 0.0000)  6 F 2.13-2.15
F (0.0000, 0.5000, 0.0000)  2 Ga 2.13
F (0.1592, 0.1592, 0.6816)  1 Ga 2.15
F (0.5000, 0.0000, 0.0000)  2 Ga 2.13



Record 2
VASP calculation (PBE) on LaCdB after structural relaxation.

**Magnetic moment**: 0.00 μB/f.u.
**E above lowest polymorph**: 62 kJ/mol of formula units
**Energy of formation**: -134 meV/atom

Cell: 4.0589 7.1835 5.2539 Å, 101.30 67.15 90.12°
With the nearest neighbours (Å) after each atom.
Element x y z (fractional)
B (0.8760, 0.0535, 0.5968)  1 B 1.58
B (0.7248, 0.1885, 0.9001)  1 B 1.58
La (0.4187, 0.3005, 0.5137)  5 B 2.78-2.99
La (0.1821, 0.9415, 0.9831)  5 B 2.78-2.99
Cd (0.6634, 0.5430, 0.0208)  1 B 2.49
Cd (0.9373, 0.6990, 0.4760)  1 B 2.49



Record 3
VASP calculation (PBE) on InOsS2 after structural relaxation.

**Magnetic moment**: 0.00 μB/f.u.
**Formation energy (no corrections)**: -0.06 eV/atom

Cell: 8.2511 8.2511 8.2511 Å, 24.94 24.94 24.94°
With the nearest neighbours (Å) after each atom.
Element x y z (fractional)
S (0.8828, 0.8828, 0.8828)  3 Os 2.37
Os (0.5000, 0.5000, 0.5000)  6 S 2.37
S (0.1172, 0.1172, 0.1172)  3 Os 2.37
In (0.0000, 0.0000, 0.0000)  2 S 2.81



Record 4
VASP calculation (PBE) on SrGe3C after structural relaxation.

**Magnetic moment**: 0.00 μB/f.u.
**E above lowest polymorph**: 0 kJ/mol of formula units
**Energy of formation**: 672 meV/atom

Cell: 4.6436 4.6436 4.6436 Å, 90.00 90.00 90.00°
With the nearest neighbours (Å) after each atom.
Element x y z (fractional)
Ge (0.0000, 0.5000, 0.0000)  2 C 2.32
Ge (0.5000, 0.0000, 0.0000)  2 C 2.32
C (0.0000, 0.0000, 0.0000)  6 Ge 2.32
Sr (0.5000, 0.5000, 0.5000)  12 Ge 3.28
Ge (0.0000, 0.0000, 0.5000)  2 C 2.32



What did the third record say?
VASP calculation (PBE) on InOsS2 after structural relaxation.

**Magnetic moment**: 0.00 μB/f.u.
**Formation energy (no corrections)**: -0.06 eV/atom

Cell: 8.2511 8.2511 8.2511 Å, 24.94 24.94 24.94°
With the nearest neighbours (Å) after each atom.
Element x y z (fractional)
S (0.8828, 0.8828, 0.8828)  3 Os 2.37
Os (0.5000, 0.5000, 0.5000)  6 S 2.37
S (0.1172, 0.1172, 0.1172)  3 Os 2.37
In (0.0000, 0.0000, 0.0000)  2 S 2.81



What is the formula in the second record?
LaCdB



Number 3 is which compound?
InOsS2